Below is a relaxed structure of CeBrF2, with properties calculated at the PBE level.

ΔE_f (raw) = -3.224 eV per atom
Total magnetic moment = 3.00 μB/cell
Polymorph energy (0 for the lowest one) = 2.73 kJ/mol of atoms

Cell: 4.1416 4.1416 16.2012 Å, 90.00 90.00 120.00°
Space group R3m (No. 160, hexagonal axes)
Asymmetric unit:
Ce1 0.0000 0.0000 0.0000 [3 per cell]
Br1 0.0000 0.0000 0.1906 [3 per cell]
F1 0.0000 0.0000 0.3787 [3 per cell]
F2 0.0000 0.0000 0.6582 [3 per cell]


Below is a relaxed structure of CeBr2F2, with properties calculated at the PBE level.

ΔE_f (raw) = -2.587 eV per atom
Total magnetic moment = 0.00 μB/cell
Polymorph energy (0 for the lowest one) = 0.00 kJ/mol of atoms

Cell: 13.8580 7.9593 6.3739 Å, 90.00 110.98 90.00°
Space group C2/c (No. 15)
Asymmetric unit:
Ce1 0.0000 0.1280 0.2500 [4 per cell]
Br1 0.1387 0.3513 0.2140 [8 per cell]
F1 0.0787 0.0824 0.6279 [8 per cell]


Below is a relaxed structure of CeBr2F, with properties calculated at the PBE level.

ΔE_f (raw) = -2.279 eV per atom
Total magnetic moment = 8.00 μB/cell
Polymorph energy (0 for the lowest one) = 27.25 kJ/mol of atoms

Cell: 8.8355 9.0647 10.1573 Å, 90.00 90.00 90.00°
Space group Fmmm (No. 69)
Asymmetric unit:
Ce1 0.0000 0.2053 0.0000 [8 per cell]
Br1 0.1825 0.0000 0.5000 [8 per cell]
Br2 0.2500 0.2500 0.2500 [8 per cell]
F1 0.0000 0.0000 0.1291 [8 per cell]


Below is a relaxed structure of Ce2BrF, with properties calculated at the PBE level.

ΔE_f (raw) = -1.629 eV per atom
Total magnetic moment = 6.06 μB/cell

Cell: 3.6593 3.6593 22.8019 Å, 90.00 90.00 120.00°
Space group R-3m (No. 166, hexagonal axes)
Asymmetric unit:
Ce1 0.0000 0.0000 0.2334 [6 per cell]
Br1 0.0000 0.0000 0.0000 [3 per cell]
F1 0.0000 0.0000 0.5000 [3 per cell]


Which value of ΔE_f (raw) does entry 1 give? -3.224 eV per atom